# 1
InGa2O (PBE, optimized geometry); calculated total energy = -3.298 eV per atom; energy above the most stable polymorph in this dataset = 0.561 eV per atom; symmetry = Fm-3m (225); energy relative to the elements, uncorrected = 0.140 eV per atom; crystal system = cubic
1.0
0.0000 3.3105 3.3105
3.3105 0.0000 3.3105
3.3105 3.3105 0.0000
O Ga In
1 2 1
Direct
0.0000 0.0000 0.0000
0.2500 0.2500 0.2500
0.7500 0.7500 0.7500
0.5000 0.5000 0.5000

# 2
Li6Cd5 (PBE, optimized geometry); calculated total energy = -1.654 eV per atom; energy above the most stable polymorph in this dataset = 0.000 eV per atom; symmetry = C2/m (12); formation enthalpy at 0 K = -0.1940 eV per atom; crystal system = monoclinic
1.0
-6.1517 4.0475 -2.9999
-3.4823 -2.5658 -6.8589
-4.5397 -0.7418 0.9795
Li Cd
6 5
Direct
0.7749 0.0000 0.7263
0.2251 0.0000 0.2737
0.3834 0.6944 0.7696
0.9222 0.6944 0.2304
0.6166 0.3056 0.2304
0.0778 0.3056 0.7696
0.5000 0.0000 0.5000
0.3330 0.3341 0.0000
0.6670 0.6659 0.0000
0.1849 0.6302 0.5000
0.8151 0.3698 0.5000

# 3
Li8MgBi6 (PBE, optimized geometry); calculated total energy = -2.992 eV per atom; symmetry = R-3 (148); formation enthalpy at 0 K = -0.3124 eV per atom; crystal system = trigonal
1.0
8.8002 0.0000 0.0000
4.4001 7.6212 0.0000
4.4001 2.5404 5.6093
Li Mg Bi
8 1 6
Direct
0.5714 0.3283 0.2538
0.6717 0.1535 0.7462
0.1535 0.4286 0.7462
0.8144 0.8144 0.5567
0.1856 0.1856 0.4433
0.8465 0.5714 0.2538
0.3283 0.8465 0.2538
0.4286 0.6717 0.7462
0.0000 0.0000 0.0000
0.4090 0.0373 0.7342
0.9627 0.1805 0.2658
0.1805 0.5910 0.2658
0.8195 0.4090 0.7342
0.0373 0.8195 0.7342
0.5910 0.9627 0.2658

# 4
TiTlMo (PBE, optimized geometry); calculated total energy = -6.786 eV per atom; energy above the most stable polymorph in this dataset = 0.200 eV per atom; symmetry = P-1 (2); formation enthalpy at 0 K = 0.2451 eV per atom; crystal system = triclinic
1.0
-0.0674 -1.4782 -2.6187
1.8126 -4.1127 3.0249
-7.4516 0.2442 0.6023
Tl Mo Ti
2 2 2
Direct
0.6127 0.8807 0.1709
0.3873 0.1193 0.8291
0.6998 0.7213 0.5169
0.3002 0.2787 0.4831
0.9949 0.4185 0.1990
0.0051 0.5815 0.8010

# 5
PmCrSn2 (PBE, optimized geometry); calculated total energy = -5.824 eV per atom; energy above the most stable polymorph in this dataset = 0.000 eV per atom; symmetry = R-3m (166); formation enthalpy at 0 K = -0.2290 eV per atom; crystal system = trigonal
1.0
-2.0151 -0.9485 -4.0271
2.5375 -0.3065 -3.8269
0.8772 -5.6818 -1.7302
Cr Sn Pm
1 2 1
Direct
0.5000 0.5000 0.5000
0.7741 0.7741 0.6778
0.2259 0.2259 0.3222
0.0000 0.0000 0.0000

# 6
CaPd4Au5 (PBE, optimized geometry); calculated total energy = -4.114 eV per atom; symmetry = C2/m (12); formation enthalpy at 0 K = -0.1977 eV per atom; crystal system = monoclinic
1.0
-2.8841 1.5619 -3.1692
0.7002 -6.3585 -3.7709
-3.2259 0.4701 6.4491
Ca Pd Au
1 4 5
Direct
0.5000 0.0000 0.0000
0.3091 0.0718 0.6183
0.9567 0.1961 0.9134
0.6908 0.9282 0.3817
0.0433 0.8039 0.0866
0.8345 0.3834 0.6690
0.8148 0.7318 0.6297
0.1851 0.2682 0.3703
0.5000 0.5000 0.0000
0.1655 0.6166 0.3310

# 7
Ca2CdAgHg4 (PBE, optimized geometry); calculated total energy = -1.469 eV per atom; symmetry = R-3m (166); formation enthalpy at 0 K = -0.3470 eV per atom; crystal system = trigonal
1.0
5.1244 0.0000 0.0000
2.5622 4.4379 0.0000
2.5622 1.4793 8.3703
Ca Cd Ag Hg
2 1 1 4
Direct
0.7499 0.7499 0.7504
0.2501 0.2501 0.2496
0.0000 0.0000 0.0000
0.5000 0.5000 0.5000
0.3767 0.3767 0.8699
0.8738 0.8738 0.3786
0.1262 0.1262 0.6214
0.6233 0.6233 0.1301

# 8
TlIn2Hg (PBE, optimized geometry); calculated total energy = -2.021 eV per atom; symmetry = R3m (160); formation enthalpy at 0 K = 0.0148 eV per atom; crystal system = trigonal
1.0
-0.6369 -9.9491 -3.8270
1.3798 -10.5390 -1.0297
-2.1008 -10.4474 -0.6888
Tl Hg In
1 1 2
Direct
0.4989 0.4989 0.4989
0.7477 0.7477 0.7477
0.0013 0.0013 0.0013
0.2522 0.2522 0.2522